Rb5Ca3Br12: optimized geometry, PBE.

Computed properties:
Final energy ... -3.19 eV per atom
Total magnetization ... 1.26 μB per formula unit

Cell lengths 19.7993, 19.7993, 19.7993 Å; angles 90.00, 90.00, 90.00 degrees
With the nearest neighbours (Å) after each atom.
Space group Ia-3d (No. 230)
Symmetry-distinct sites (fractional):
Rb1 0.0000 0.0000 0.0000 (multiplicity 16)  6 Br 3.40
Rb2 0.0000 0.2500 0.3750 (multiplicity 24)  4 Br 3.59
Ca1 0.0000 0.2500 0.1250 (multiplicity 24)  4 Br 2.78
Br1 0.0264 0.0484 0.3376 (multiplicity 96)  1 Ca 2.78